Record 1
# RbNa2Cd

A geometry-optimized RbNa2Cd structure (PBE, Alexandria via LeMat-Bulk).

As for the density of states at the Fermi level: 0.55 states/eV per atom.

Cell: 5.6680 5.3844 5.3844 Å, 90.00 90.00 90.00°
Sites, in units of the cell vectors:
Na 0.0000 0.0000 0.5000
Na 0.0000 0.5000 0.0000
Rb 0.5000 0.0000 0.0000
Cd 0.5000 0.5000 0.5000


Record 2
# Rb4NaCd

A geometry-optimized Rb4NaCd structure (PBE, Alexandria via LeMat-Bulk).

As for the density of states at the Fermi level: 0.56 states/eV per atom.

Cell: 9.5418 9.5418 10.8889 Å, 115.99 115.99 90.00°
Sites, in units of the cell vectors:
Rb 0.4621 0.9621 0.2728
Rb 0.9621 0.8107 0.2728
Rb 0.3107 0.4621 0.2728
Rb 0.6893 0.5379 0.7272
Rb 0.0379 0.1893 0.7272
Rb 0.5379 0.0379 0.7272
Rb 0.1893 0.6893 0.7272
Rb 0.8107 0.3107 0.2728
Na 0.5000 0.5000 0.0000
Na 0.0000 0.0000 0.0000
Cd 0.2500 0.2500 0.5000
Cd 0.7500 0.7500 0.5000


Record 3
# Rb2Na2Cd

A geometry-optimized Rb2Na2Cd structure (PBE, Alexandria via LeMat-Bulk).

The calculation puts the energy above the most stable polymorph in this dataset at 0.12 eV/f.u. As for the density of states at the Fermi level: 0.65 states/eV per atom.

Cell: 8.6758 8.6758 6.5191 Å, 90.00 90.00 90.00°
Sites, in units of the cell vectors:
Na 0.3555 0.8555 0.0000
Na 0.8555 0.6445 0.0000
Na 0.6445 0.1445 0.0000
Na 0.1445 0.3555 0.0000
Rb 0.1853 0.6853 0.5000
Rb 0.6853 0.8147 0.5000
Rb 0.8147 0.3147 0.5000
Rb 0.3147 0.1853 0.5000
Cd 0.0000 0.0000 0.0000
Cd 0.5000 0.5000 0.0000


Record 4
# RbNa6Cd6

A geometry-optimized RbNa6Cd6 structure (PBE, Alexandria via LeMat-Bulk).

As for the density of states at the Fermi level: 0.38 states/eV per atom.

Cell: 6.1766 8.4475 8.4475 Å, 84.12 68.56 68.56°
Sites, in units of the cell vectors:
Rb 0.0000 0.0000 0.0000
Na 0.3499 0.6501 0.6501
Na 0.6501 0.3499 0.3499
Na 0.0000 0.3408 0.6592
Na 0.0000 0.6592 0.3408
Na 0.3055 0.1945 0.1945
Na 0.6945 0.8055 0.8055
Cd 0.0000 0.5000 0.0000
Cd 0.5000 0.5000 0.0000
Cd 0.0000 0.0000 0.5000
Cd 0.5000 0.0000 0.5000
Cd 0.5000 0.7668 0.2332
Cd 0.5000 0.2332 0.7668


Record 5
# Rb6Na8Cd15

A geometry-optimized Rb6Na8Cd15 structure (PBE, Alexandria via LeMat-Bulk).

As for the density of states at the Fermi level: 0.39 states/eV per atom.

Cell: 11.0177 11.0177 11.0177 Å, 60.00 60.00 60.00°
Sites, in units of the cell vectors:
Rb 0.7002 0.7002 0.2998
Rb 0.2998 0.2998 0.7002
Rb 0.7002 0.2998 0.2998
Rb 0.2998 0.7002 0.7002
Rb 0.7002 0.2998 0.7002
Rb 0.2998 0.7002 0.2998
Na 0.6314 0.1229 0.1229
Na 0.3686 0.8771 0.8771
Na 0.1229 0.1229 0.6314
Na 0.1229 0.1229 0.1229
Na 0.8771 0.8771 0.3686
Na 0.8771 0.8771 0.8771
Na 0.1229 0.6314 0.1229
Na 0.8771 0.3686 0.8771
Cd 0.0305 0.3232 0.3232
Cd 0.9695 0.6768 0.6768
Cd 0.3232 0.3232 0.0305
Cd 0.3232 0.3232 0.3232
Cd 0.6768 0.6768 0.9695
Cd 0.6768 0.6768 0.6768
Cd 0.3232 0.0305 0.3232
Cd 0.6768 0.9695 0.6768
Cd 0.5000 0.5000 0.0000
Cd 0.0000 0.0000 0.5000
Cd 0.5000 0.0000 0.0000
Cd 0.0000 0.5000 0.5000
Cd 0.5000 0.0000 0.5000
Cd 0.0000 0.5000 0.0000
Cd 0.0000 0.0000 0.0000


Record 6
# Rb6NaCd

A geometry-optimized Rb6NaCd structure (PBE, Alexandria via LeMat-Bulk).

As for the density of states at the Fermi level: 0.84 states/eV per atom.

Cell: 5.1331 10.7745 10.7745 Å, 95.45 90.00 90.00°
Sites, in units of the cell vectors:
Rb 0.0000 0.5468 0.7860
Rb 0.0000 0.2140 0.4532
Rb 0.0000 0.6472 0.3528
Rb 0.5000 0.9102 0.6421
Rb 0.5000 0.3579 0.0898
Rb 0.5000 0.9091 0.0909
Na 0.0000 0.1424 0.8576
Cd 0.5000 0.2723 0.7277


What are the ΔH_f (0 K) values for these records? In order: 50; 15; 41; -86; -78; 18 meV per atom.
What are the total moment values for these records? In order: 0.0000; 0.0000; 0.0000; 0.0000; 0.0000; 0.0000 μB/atom.